Entry 1:
5
Lattice="-3.6200 1.1363 -3.8653 -3.8928 -2.3253 2.9623 -1.0380 4.7579 2.3708" Properties=species:S:1:pos:R:3 comment="BICl3 (GGA-PBEsol, relaxed)" dos_at_fermi_per_ev_cell=4.20 pbc="T T T"
Cl -1.9464 -1.1627 1.4811
Cl -1.8100 0.5681 -1.9326
Cl -0.5190 2.3790 1.1854
I 0.0000 0.0000 0.0000
B -4.2754 1.7845 0.7339

---

Entry 2:
5
Lattice="-0.2430 1.7812 2.7155 -2.7634 -5.0582 3.0705 5.8971 -2.0751 1.8889" Properties=species:S:1:pos:R:3 comment="BI2NCl (GGA-PBEsol, relaxed)" dos_at_fermi_per_ev_cell=1.85 pbc="T T T"
B 1.4453 -2.6761 3.8375
I -1.3817 -2.5291 1.5353
I 2.9486 -1.0375 0.9445
N -0.1215 0.8906 1.3577
Cl 0.0000 0.0000 0.0000

---

Entry 3:
Here is crystalline InB2Cl at its relaxed geometry from the Alexandria database. Energies are from GGA-PBEsol.

Cell and atoms, written as extended XYZ:
```
8
Lattice="5.1167 0.0000 0.0000 0.0000 5.1167 0.0000 -2.5583 -2.5583 5.1021" Properties=species:S:1:pos:R:3 pbc="T T T"
B 1.2792 1.2039 3.8266
B 3.7623 1.2792 1.2755
B -1.2792 -1.2039 3.8266
B 1.3544 3.8375 1.2755
Cl 2.5583 2.5583 0.0000
Cl 2.5583 0.0000 2.5510
In 0.0000 0.0000 0.0000
In 0.0000 2.5583 2.5510
```

---

Entry 4:
4
Lattice="2.8574 0.0000 0.0000 1.4287 2.4746 0.0000 1.4287 0.8249 9.2720" Properties=species:S:1:pos:R:3 comment="BIrCl2 (GGA-PBEsol, relaxed)" dos_at_fermi_per_ev_cell=3.27 polymorph_energy_ev_per_atom=0.000 pbc="T T T"
B 0.0000 0.0000 0.0000
Ir 2.8574 1.6497 4.6360
Cl 1.4287 0.8249 7.6153
Cl 4.2862 2.4746 1.6568

---

Entry 5:
4
Lattice="-0.9941 -2.7041 -0.7100 0.7820 -1.2378 -2.5808 5.8742 -4.3556 2.1633" Properties=species:S:1:pos:R:3 comment="BIrCl2 (GGA-PBEsol, relaxed)" dos_at_fermi_per_ev_cell=2.87 polymorph_energy_ev_per_atom=0.092 pbc="T T T"
Cl 1.6134 -4.8759 -2.2898
Cl 4.0488 -3.4216 1.1622
B 2.8311 -4.1487 -0.5638
Ir 0.0000 0.0000 0.0000

---

Entry 6:
4
Lattice="3.9635 0.0000 0.0000 1.9817 3.4325 0.0000 1.9817 1.1442 3.2362" Properties=species:S:1:pos:R:3 comment="B2IrCl (GGA-PBEsol, relaxed)" dos_at_fermi_per_ev_cell=4.36 pbc="T T T"
B 5.9452 3.4325 2.4271
B 1.9817 1.1442 0.8090
Cl 0.0000 0.0000 0.0000
Ir 3.9635 2.2883 1.6181

---

Entry 7:
5
Lattice="4.3935 0.0000 0.0000 0.0000 4.9186 0.0000 0.0000 0.0000 4.9186" Properties=species:S:1:pos:R:3 comment="BPIrCl2 (GGA-PBEsol, relaxed)" dos_at_fermi_per_ev_cell=2.33 pbc="T T T"
Cl 0.0000 0.0000 2.4593
Cl 0.0000 2.4593 0.0000
B 2.1968 2.4593 2.4593
P 2.1968 0.0000 0.0000
Ir 0.0000 0.0000 0.0000

---

Entry 8:
4
Lattice="5.3307 0.0000 0.0000 2.6653 4.6165 0.0000 2.6653 1.5388 4.3525" Properties=species:S:1:pos:R:3 comment="K2BCl (GGA-PBEsol, relaxed)" dos_at_fermi_per_ev_cell=5.87 pbc="T T T"
K 7.9960 4.6165 3.2644
K 2.6653 1.5388 1.0881
Cl 5.3307 3.0777 2.1762
B 0.0000 0.0000 0.0000

---

Entry 9:
5
Lattice="-1.1983 0.6504 3.6150 -3.5959 -0.9828 -1.0152 1.2140 -5.9663 1.4759" Properties=species:S:1:pos:R:3 comment="KNiB2Cl (GGA-PBEsol, relaxed)" dos_at_fermi_per_ev_cell=1.03 pbc="T T T"
B -0.5992 0.3252 1.8075
B -1.7979 -0.4914 -0.5076
K 0.6070 -2.9831 0.7379
Ni 0.0000 0.0000 0.0000
Cl -1.7901 -3.1494 2.0378

---

Entry 10:
5
Lattice="-0.9384 -0.2545 -3.4433 2.8148 -4.5223 -0.4328 -4.3213 -2.8224 1.3864" Properties=species:S:1:pos:R:3 comment="KBPCl2 (GGA-PBEsol, relaxed)" dos_at_fermi_per_ev_cell=3.49 pbc="T T T"
Cl 1.4074 -2.2612 -0.2164
Cl -2.1607 -1.4112 0.6932
P -0.4692 -0.1273 -1.7216
B 0.0000 0.0000 0.0000
K -1.2225 -3.7997 -1.2449

---

Entry 11:
5
Lattice="-2.3518 -3.9768 -3.0315 2.3586 -3.9087 3.2978 -4.5176 0.1096 3.3609" Properties=species:S:1:pos:R:3 comment="KBS2Cl (GGA-PBEsol, relaxed)" dos_at_fermi_per_ev_cell=5.56 pbc="T T T"
K 0.0000 0.0000 0.0000
B -2.2554 -3.8879 1.8136
S 1.1793 -1.9543 1.6489
S -2.2588 0.0548 1.6804
Cl -1.1759 -1.9884 -1.5157

---

no.,E_form (uncorrected) (eV/atom),density (g cm⁻³)
1,1.048,2.551
2,1.866,3.755
3,1.230,4.274
4,0.923,6.938
5,1.015,8.028
6,1.821,9.403
7,1.128,4.764
8,0.242,1.930
9,0.349,2.750
10,-0.166,2.466
11,1.641,1.416